# Rb3TaF12

A geometry-optimized Rb3TaF12 structure (GGA-PBE, Alexandria via LeMat-Bulk).

Cell lengths 8.443, 8.443, 7.551 Å; angles 93.81, 93.81, 123.19 degrees
Site moments in Bohr magnetons follow the coordinates.
Fractional positions:
F 0.069 0.231 0.891  0.02
F 0.868 0.271 0.275  0.58
F 0.776 0.927 0.791  0.34
F 0.132 0.729 0.725  0.58
F 0.769 0.931 0.109  0.02
F 0.224 0.073 0.209  0.34
F 0.931 0.769 0.109  0.02
F 0.073 0.224 0.209  0.34
F 0.271 0.868 0.275  0.58
F 0.231 0.069 0.891  0.02
F 0.927 0.776 0.791  0.34
F 0.729 0.132 0.725  0.58
Rb 0.000 0.000 0.500  0.00
Rb 0.000 0.500 0.000  0.00
Rb 0.500 0.000 0.000  0.00
Ta 0.000 0.000 0.000  -0.02

Results
The calculation puts the energy relative to the elements, uncorrected at -2.111 eV per atom. Its crystal system is monoclinic. The total energy is -70.981 eV/f.u.



# RbTaTl2F8

A geometry-optimized RbTaTl2F8 structure (GGA-PBE, Alexandria via LeMat-Bulk).

Cell lengths 4.952, 6.696, 8.326 Å; angles 89.99, 89.98, 94.96 degrees
Fractional positions:
F 0.120 0.828 0.168
F 0.340 0.161 0.000
F 0.880 0.172 0.832
F 0.546 0.728 0.500
F 0.120 0.828 0.832
F 0.880 0.172 0.168
F 0.660 0.839 0.000
F 0.454 0.272 0.500
Tl 0.500 0.500 0.733
Tl 0.500 0.500 0.267
Ta 0.000 0.000 0.000
Rb 0.000 0.000 0.500

Results
The calculation puts the energy relative to the elements, uncorrected at -2.739 eV per atom. As for the density of states at the Fermi level: 0.00 states/eV/atom. Its crystal system is monoclinic. The total energy is -65.390 eV/f.u.